No. 1
! Mg4InAg15, optimized geometry, DFT GGA-PBE; values from VASP
! space group: P4/mmm
! volume: 363.1 Å³/cell
! crystal system: tetragonal
! magnetic moment: 0.000 μB/cell
! formation enthalpy at 0 K: -127 meV per atom
&SYSTEM
  ibrav = 0, nat = 20, ntyp = 3
/
ATOMIC_SPECIES
Mg 24.30 Mg.upf
In 114.82 In.upf
Ag 107.87 Ag.upf
ATOMIC_POSITIONS angstrom
Mg 3.452 2.413 -0.580
Mg 6.880 4.810 -1.156
Mg 10.290 7.193 -1.729
Mg 13.718 9.590 -2.305
In 0.000 0.000 0.000
Ag 1.075 -0.921 2.565
Ag 4.534 1.497 1.984
Ag 7.952 3.886 1.409
Ag 11.368 6.274 0.836
Ag 14.786 8.663 0.261
Ag 1.636 1.886 1.665
Ag 5.039 4.266 1.094
Ag 8.457 6.655 0.519
Ag 11.876 9.045 -0.055
Ag 15.279 11.424 -0.627
Ag 2.966 -0.343 0.307
Ag 6.369 2.036 -0.265
Ag 9.788 4.426 -0.839
Ag 13.206 6.816 -1.414
Ag 16.609 9.195 -1.986
CELL_PARAMETERS angstrom
-0.255 1.308 3.923
2.405 -3.151 1.207
17.170 12.003 -2.885

No. 2
! Mg4InAg4, optimized geometry, DFT GGA-PBE; values from VASP
! space group: P4_2/nmc
! volume: 389.1 Å³/cell
! crystal system: tetragonal
! magnetic moment: 0.000 μB/cell
! formation enthalpy at 0 K: -25 meV per atom
&SYSTEM
  ibrav = 0, nat = 18, ntyp = 3
/
ATOMIC_SPECIES
Mg 24.30 Mg.upf
In 114.82 In.upf
Ag 107.87 Ag.upf
ATOMIC_POSITIONS angstrom
Mg 8.316 -1.962 4.147
Mg 7.592 1.062 3.356
Mg 2.664 -1.297 5.355
Mg 2.819 -2.073 2.246
Mg 2.529 1.005 1.530
Mg 2.380 1.749 4.514
Mg 7.336 0.141 0.330
Mg 8.031 -2.761 1.089
In 0.000 0.000 0.000
In 5.348 -1.068 3.776
Ag 9.520 -0.520 2.048
Ag 9.352 0.323 5.428
Ag 1.653 -3.680 4.244
Ag 0.866 -0.393 3.384
Ag 5.114 -3.313 1.081
Ag 4.482 -0.675 0.391
Ag 5.407 1.723 1.639
Ag 5.272 2.399 4.351
CELL_PARAMETERS angstrom
-0.303 1.520 6.092
1.419 -5.925 1.549
9.580 2.270 -0.089